one | The following is a GGA-PBE calculation of an optimized crystal structure of Ba2ZnP, from Alexandria via LeMat-Bulk.

Cell lengths 8.8240, 8.8240, 8.8240 Å; angles 152.53, 150.84, 40.49 degrees
Closest atoms and distances in Å follow each position.
Sites, in units of the cell vectors:
Ba  0.0081  0.0081  0.0000  4 P 3.30, 2 Zn 3.40
Ba  0.2457  0.7457  0.5000  4 Zn 3.34, 2 P 3.49
Zn  0.6633  0.1633  0.5000  2 P 2.48
P  0.5829  0.5829  0.0000  2 Zn 2.48

Calculated values
The calculation puts the volume at 154.12 Å³/cell. The density is 4.00 Mg/m³. The value obtained for the total magnetization is 0.4 μB per cell.

---

two | The following is a GGA-PBE calculation of an optimized crystal structure of Ba2ZnP, from Alexandria via LeMat-Bulk.

Cell lengths 4.0556, 4.0556, 7.9551 Å; angles 90.00, 90.00, 90.00 degrees
Closest atoms and distances in Å follow each position.
Sites, in units of the cell vectors:
Ba  0.0000  0.0000  0.2869  4 P 3.33, 1 Ba 3.39, 4 Zn 3.67
Ba  0.0000  0.0000  0.7131  4 P 3.33, 1 Ba 3.39, 4 Zn 3.67
Zn  0.5000  0.5000  0.0000  8 Ba 3.67, 2 P 3.98, 4 Zn 4.06
P  0.5000  0.5000  0.5000  8 Ba 3.33

Calculated values
The calculation puts the volume at 130.85 Å³/cell. The density is 4.71 Mg/m³. The value obtained for the total magnetization is 0.0 μB per cell.

---

three | The following is a GGA-PBE calculation of an optimized crystal structure of Ba2ZnP, from Alexandria via LeMat-Bulk.

Cell lengths 6.5967, 6.5967, 4.4496 Å; angles 90.00, 90.00, 137.80 degrees
Closest atoms and distances in Å follow each position.
Sites, in units of the cell vectors:
Ba  0.9880  0.0120  0.0000  4 P 3.37, 3 Zn 3.42-3.69
Ba  0.2644  0.7356  0.5000  4 Zn 3.39, 3 P 3.46-3.63
Zn  0.6881  0.3119  0.0000  2 P 2.73
P  0.5594  0.4406  0.5000  2 Zn 2.73

Calculated values
The calculation puts the volume at 130.07 Å³/cell. The density is 4.74 Mg/m³. The value obtained for the total magnetization is 0.5 μB per cell.

---

four | The following is a GGA-PBE calculation of an optimized crystal structure of Ba2ZnP, from Alexandria via LeMat-Bulk.

Cell lengths 9.4193, 9.4193, 9.4193 Å; angles 25.75, 25.75, 25.75 degrees
Closest atoms and distances in Å follow each position.
Sites, in units of the cell vectors:
Ba  0.9645  0.9645  0.9645  3 P 3.43, 3 Zn 3.45
Ba  0.7856  0.7856  0.7856  3 Zn 3.43, 3 P 3.45
Zn  0.2077  0.2077  0.2077  3 P 2.42
P  0.5423  0.5423  0.5423  3 Zn 2.42

Calculated values
The calculation puts the volume at 138.87 Å³/cell. The density is 4.44 Mg/m³. The value obtained for the total magnetization is 0.0 μB per cell.

---

Out of the structures above, which one is the most stable? Solution: three.